Record 1
# TaRe2Tc

Crystalline TaRe2Tc at its relaxed geometry (PBEsol, the Alexandria database).

abc: 3.102 3.102 6.310
angles: 90.00 90.00 90.00
Positions (direct):
Ta (0.000, 0.000, 0.000)
Re (0.000, 0.000, 0.497)
Re (0.500, 0.500, 0.742)
Tc (0.500, 0.500, 0.238)

Computed properties:
- Density: 17.81 g cm⁻³
- ΔE to the lowest computed polymorph: 0.000 eV/atom
- DOS(E_F): 0.83 states/eV/atom
- Formation enthalpy at 0 K: -3.39 kJ per mole of atoms

Record 2
# LiZnGe

Crystalline LiZnGe at its relaxed geometry (PBEsol, the Alexandria database).

abc: 4.219 4.219 9.232
angles: 90.00 90.00 120.00
Positions (direct):
Li (0.000, 0.000, 0.000)
Li (0.000, 0.000, 0.333)
Li (0.000, 0.000, 0.667)
Zn (0.333, 0.667, 0.207)
Zn (0.333, 0.667, 0.793)
Zn (0.667, 0.333, 0.500)
Ge (0.333, 0.667, 0.500)
Ge (0.667, 0.333, 0.138)
Ge (0.667, 0.333, 0.862)

Computed properties:
- Density: 5.08 g cm⁻³
- DOS(E_F): 0.18 states/eV/atom
- Formation enthalpy at 0 K: -24.89 kJ per mole of atoms

> Among the records above, which one has the highest density?

TaRe2Tc